# La4Er4Al

An optimized crystal structure of La4Er4Al (GGA-PBE, the Alexandria database).

The space group is I222 (No. 23) and the conventional cell measures 6.362, 8.516 and 11.190 Å, with angles of 90.00, 90.00 and 90.00 degrees. The inequivalent atoms are La at (0.000, 0.000, 0.000), La at (0.000, 0.166, 0.500), La at (0.000, 0.500, 0.000), Er at (0.213, 0.360, 0.258) and Al at (0.000, 0.500, 0.500).

For the calculated volume, the calculation gives 606 Å³/cell. Its formation energy from the elements is 0.25 eV per atom. Its crystal system is orthorhombic. For the total moment, the calculation gives 0.00 μB/atom.

# KNa2HgBi

An optimized crystal structure of KNa2HgBi (GGA-PBE, the Alexandria database).

The space group is P4/mmm (No. 123) and the conventional cell measures 6.032, 6.032 and 6.893 Å, with angles of 90.00, 90.00 and 90.00 degrees. The inequivalent atoms are K at (0.000, 0.000, 0.000), Na at (0.000, 0.500, 0.500), Hg at (0.500, 0.500, 0.000) and Bi at (0.000, 0.000, 0.500).

For the calculated volume, the calculation gives 251 Å³/cell. Its formation energy from the elements is -0.19 eV per atom. Its crystal system is tetragonal. For the total moment, the calculation gives 0.00 μB/atom.